1.
{
  "formula": "ZrNi4P2",
  "functional": "PBEsol",
  "state": "relaxed",
  "formation_energy_mev_per_atom": -894,
  "total_energy_ev_per_atom": -7.365,
  "lattice_angstrom": [[-0.931, 0.159, -3.415], [0.670, -6.795, -0.500], [-6.572, -0.777, 1.756]],
  "species": ["Ni", "Ni", "Ni", "Ni", "Ni", "Ni", "Ni", "Ni", "P", "P", "P", "P", "Zr", "Zr"],
  "frac_coords": [[0.000, 0.085, 0.335], [0.000, 0.915, 0.665], [0.500, 0.165, 0.585], [0.500, 0.835, 0.415], [0.500, 0.415, 0.835], [0.500, 0.585, 0.165], [0.000, 0.335, 0.085], [0.000, 0.665, 0.915], [0.000, 0.220, 0.780], [0.000, 0.780, 0.220], [0.500, 0.720, 0.720], [0.500, 0.280, 0.280], [0.500, 0.000, 0.000], [0.000, 0.500, 0.500]]
}

2.
{
  "formula": "TcPRu",
  "functional": "PBEsol",
  "state": "relaxed",
  "formation_energy_mev_per_atom": -239,
  "total_energy_ev_per_atom": -9.316,
  "lattice_angstrom": [[-0.494, 3.395, -1.856], [-2.682, 2.538, 1.257], [1.112, 3.331, 1.698]],
  "species": ["P", "Ru", "Tc"],
  "frac_coords": [[0.250, 0.250, 0.250], [0.000, 0.000, 0.000], [0.500, 0.500, 0.500]]
}

3.
{
  "formula": "V2Bi4O11",
  "functional": "PBEsol",
  "state": "relaxed",
  "raw_formation_energy_ev_per_atom": -1.75,
  "total_energy_ev_per_atom": -7.290,
  "polymorph_energy_ev_per_fu": 0.000,
  "lattice_angstrom": [[5.534, 0.000, 0.000], [-2.767, 7.498, -0.028], [0.000, -0.060, 10.964]],
  "species": ["V", "V", "V", "V", "Bi", "Bi", "Bi", "Bi", "Bi", "Bi", "Bi", "Bi", "O", "O", "O", "O", "O", "O", "O", "O", "O", "O", "O", "O", "O", "O", "O", "O", "O", "O", "O", "O", "O", "O"],
  "frac_coords": [[0.022, 0.000, 0.000], [0.547, 0.986, 0.769], [0.990, 0.000, 0.500], [0.561, 0.014, 0.231], [0.337, 0.666, 0.013], [0.910, 0.684, 0.746], [0.242, 0.352, 0.749], [0.685, 0.329, 0.505], [0.356, 0.671, 0.495], [0.890, 0.648, 0.251], [0.227, 0.316, 0.254], [0.671, 0.334, 0.987], [0.216, 0.214, 0.953], [0.059, 0.517, 0.871], [0.799, 0.946, 0.877], [0.324, 0.931, 0.884], [0.559, 0.528, 0.872], [0.605, 0.206, 0.749], [0.057, 0.509, 0.623], [0.334, 0.860, 0.663], [0.805, 0.958, 0.631], [0.564, 0.525, 0.627], [0.044, 0.807, 0.462], [0.237, 0.193, 0.538], [0.039, 0.475, 0.373], [0.847, 0.042, 0.369], [0.475, 0.140, 0.337], [0.548, 0.491, 0.377], [0.399, 0.794, 0.251], [0.031, 0.472, 0.128], [0.393, 0.069, 0.116], [0.853, 0.054, 0.123], [0.542, 0.483, 0.129], [0.002, 0.786, 0.047]]
}

4.
{
  "formula": "Zr2Zn",
  "functional": "PBEsol",
  "state": "relaxed",
  "formation_energy_mev_per_atom": -114,
  "total_energy_ev_per_atom": -6.701,
  "lattice_angstrom": [[3.775, 0.000, 0.000], [0.000, 7.332, 0.000], [0.000, -3.666, 6.349]],
  "species": ["Zn", "Zn", "Zn", "Zr", "Zr", "Zr", "Zr", "Zr", "Zr"],
  "frac_coords": [[0.500, 0.000, 0.000], [0.000, 0.667, 0.333], [0.000, 0.333, 0.667], [0.000, 0.000, 0.266], [0.500, 0.000, 0.598], [0.000, 0.734, 0.734], [0.000, 0.266, 0.000], [0.500, 0.402, 0.402], [0.500, 0.598, 0.000]]
}

Q: Which formula does entry 3 have?
A: V2Bi4O11